(1)
A plane-wave DFT calculation with PBE was carried out for a relaxed LiMgTl2 crystal.

a b c (Å): 3.5986 3.6002 7.1419
angles (deg): 90.00 90.00 90.00
Sites, in units of the cell vectors:
1 Tl 0.0000 0.0000 0.0110
2 Tl 0.0000 0.0000 0.4890
3 Mg 0.5000 0.5000 0.7500
4 Li 0.5000 0.5000 0.2500

Calculated values
E_form: -0.150 eV per atom
N(E_F): 1.10 states/eV/f.u.

(2)
A plane-wave DFT calculation with PBE was carried out for a relaxed Li19Mg6Tl4 crystal.

a b c (Å): 9.2260 9.2260 9.2260
angles (deg): 109.47 109.47 109.47
Sites, in units of the cell vectors:
1 Li 0.0146 0.8105 0.3365
2 Li 0.3365 0.0146 0.8105
3 Li 0.7959 0.9854 0.3219
4 Li 0.6635 0.4740 0.6781
5 Li 0.5260 0.1895 0.2041
6 Li 0.2575 0.0000 0.2575
7 Li 0.7425 0.0000 0.7425
8 Li 0.0000 0.0000 0.0000
9 Li 0.2041 0.5260 0.1895
10 Li 0.0000 0.7425 0.7425
11 Li 0.0000 0.2575 0.2575
12 Li 0.9854 0.3219 0.7959
13 Li 0.1895 0.2041 0.5260
14 Li 0.3219 0.7959 0.9854
15 Li 0.7425 0.7425 0.0000
16 Li 0.2575 0.2575 0.0000
17 Li 0.8105 0.3365 0.0146
18 Li 0.6781 0.6635 0.4740
19 Li 0.4740 0.6781 0.6635
20 Tl 0.0000 0.6406 0.0000
21 Tl 0.0000 0.0000 0.6406
22 Tl 0.3594 0.3594 0.3594
23 Tl 0.6406 0.0000 0.0000
24 Mg 0.6418 0.5000 0.1418
25 Mg 0.3582 0.5000 0.8582
26 Mg 0.8582 0.3582 0.5000
27 Mg 0.5000 0.1418 0.6418
28 Mg 0.1418 0.6418 0.5000
29 Mg 0.5000 0.8582 0.3582

Calculated values
E_form: -0.012 eV per atom
N(E_F): 9.29 states/eV/f.u.

- What is the formula in the second record?
  Li19Mg6Tl4

- Which of these has the lowest E_form?
  LiMgTl2

- What is the E_form in the first record?
  -0.150 eV per atom